This record from Alexandria via LeMat-Bulk describes an optimized crystal structure of Rb2ScAgF6. The functional is PBE-GGA.

The total moment is 0.1 μB/f.u. The uncorrected energy is -5.18 eV/atom. For the formation energy from raw total energies, the calculation gives -2.944 eV/atom.

The structure belongs to space group Fm-3m (No. 225); the cell edges are 8.975, 8.975 and 8.975 Å and the angles 90.00°, 90.00° and 90.00°. Symmetry generates all atoms from Rb at (0.250, 0.250, 0.250), Sc at (0.000, 0.000, 0.000), Ag at (0.000, 0.000, 0.500) and F at (0.000, 0.000, 0.227).